# 1
First-principles (PBE) data for Ba5Ce4ZrO15 after structural relaxation, as listed in Alexandria.

Computed properties:
The formation energy from raw total energies comes out at -78.6 eV/f.u. As for the space group: No. 65. The crystal system is orthorhombic.

Lattice parameters (Å, degrees): 16.0505 16.0505 4.4113 90.00 90.00 157.48
Element x y z (fractional)
Ba1 0.0000 0.0000 0.0000
Ba2 0.2036 0.7964 0.0000
Ba3 0.4078 0.5922 0.0000
Ba4 0.5922 0.4078 0.0000
Ba5 0.7964 0.2036 0.0000
Ce1 0.0982 0.9018 0.5000
Ce2 0.3015 0.6985 0.5000
Ce3 0.6985 0.3015 0.5000
Ce4 0.9018 0.0982 0.5000
Zr1 0.5000 0.5000 0.5000
O1 0.0000 0.5000 0.5000
O2 0.0924 0.9076 0.0000
O3 0.0973 0.3951 0.5000
O4 0.2156 0.3114 0.5000
O5 0.2954 0.7046 0.0000
O6 0.3114 0.2156 0.5000
O7 0.3951 0.0973 0.5000
O8 0.5000 0.0000 0.5000
O9 0.5000 0.5000 0.0000
O10 0.6049 0.9027 0.5000
O11 0.6886 0.7844 0.5000
O12 0.7046 0.2954 0.0000
O13 0.7844 0.6886 0.5000
O14 0.9027 0.6049 0.5000
O15 0.9076 0.0924 0.0000



# 2
First-principles (PBE) data for Ba3CeZr2O9 after structural relaxation, as listed in Alexandria.

Computed properties:
The formation energy from raw total energies comes out at -47.8 eV/f.u. As for the space group: No. 164. The crystal system is trigonal.

Lattice parameters (Å, degrees): 6.1172 6.1172 7.5096 90.00 90.00 120.00
Element x y z (fractional)
Ba1 0.0000 0.0000 0.0000
Ba2 0.3333 0.6667 0.6703
Ba3 0.6667 0.3333 0.3297
Ce1 0.0000 0.0000 0.5000
Zr1 0.3333 0.6667 0.1606
Zr2 0.6667 0.3333 0.8394
O1 0.0000 0.5000 0.0000
O2 0.1713 0.3427 0.3253
O3 0.1713 0.8287 0.3253
O4 0.3427 0.1713 0.6747
O5 0.5000 0.0000 0.0000
O6 0.5000 0.5000 0.0000
O7 0.6573 0.8287 0.3253
O8 0.8287 0.1713 0.6747
O9 0.8287 0.6573 0.6747



# 3
First-principles (PBE) data for BaCe3Os after structural relaxation, as listed in Alexandria.

Computed properties:
As for the space group: No. 221. The crystal system is cubic. The value obtained for the energy of formation from the pure elements is 0.089 eV per atom.

Lattice parameters (Å, degrees): 5.6017 5.6017 5.6017 90.00 90.00 90.00
Element x y z (fractional)
Ba1 0.0000 0.0000 0.0000
Ce1 0.0000 0.5000 0.5000
Ce2 0.5000 0.0000 0.5000
Ce3 0.5000 0.5000 0.0000
Os1 0.5000 0.5000 0.5000



# 4
First-principles (PBE) data for Ba3CeP3 after structural relaxation, as listed in Alexandria.

Computed properties:
As for the space group: No. 14. The crystal system is monoclinic. The value obtained for the energy of formation from the pure elements is -1.011 eV per atom.

Lattice parameters (Å, degrees): 9.4931 8.2476 13.1716 90.00 93.64 90.00
Element x y z (fractional)
Ba1 0.0859 0.1519 0.1442
Ba2 0.0859 0.3481 0.6442
Ba3 0.3503 0.7425 0.8063
Ba4 0.3503 0.7575 0.3063
Ba5 0.3885 0.2307 0.9231
Ba6 0.3885 0.2693 0.4231
Ba7 0.6115 0.7307 0.5769
Ba8 0.6115 0.7693 0.0769
Ba9 0.6497 0.2425 0.6937
Ba10 0.6497 0.2575 0.1937
Ba11 0.9141 0.6519 0.3558
Ba12 0.9141 0.8481 0.8558
Ce1 0.1584 0.6052 0.0666
Ce2 0.1584 0.8948 0.5666
Ce3 0.8416 0.1052 0.4334
Ce4 0.8416 0.3948 0.9334
P1 0.1144 0.0221 0.3713
P2 0.1144 0.4779 0.8713
P3 0.2740 0.5981 0.5252
P4 0.2740 0.9019 0.0252
P5 0.3533 0.0842 0.6739
P6 0.3533 0.4158 0.1739
P7 0.6467 0.5842 0.8261
P8 0.6467 0.9158 0.3261
P9 0.7260 0.0981 0.9748
P10 0.7260 0.4019 0.4748
P11 0.8856 0.5221 0.1287
P12 0.8856 0.9779 0.6287



Number 1: density 6.0 g/cm3, uncorrected energy -7.794 eV/atom, calculated volume 17.41 A^3/atom. Number 2: density 6.0 g/cm3, uncorrected energy -8.080 eV/atom, calculated volume 16.22 A^3/atom. Number 3: density 7.1 g/cm3, uncorrected energy -6.102 eV/atom, calculated volume 35.15 A^3/atom. Number 4: density 4.2 g/cm3, uncorrected energy -5.002 eV/atom, calculated volume 36.76 A^3/atom.